1.
A plane-wave DFT calculation with GGA-PBE was carried out for a relaxed structure of SrNiAs2Rh.

M_tot: 0.00 μB per formula unit
Formation energy from the elements: -0.699 eV/atom

a b c (Å): 4.163 4.163 11.362
angles (deg): 90.00 90.00 90.00
Space group I-4m2 (No. 119)
Unique sites:
Sr  0.000  0.000  0.000 (multiplicity 2)
Ni  0.000  0.500  0.750 (multiplicity 2)
As  0.000  0.000  0.360 (multiplicity 4)
Rh  0.000  0.500  0.250 (multiplicity 2)

=====

2.
A plane-wave DFT calculation with GGA-PBE was carried out for a relaxed structure of Sr2NiAs4Rh3.

M_tot: 0.00 μB per formula unit
Formation energy from the elements: -0.716 eV/atom

a b c (Å): 4.366 4.366 9.997
angles (deg): 90.00 90.00 90.00
Space group P-4m2 (No. 115)
Unique sites:
Sr  0.000  0.500  0.248 (multiplicity 2)
Ni  0.000  0.000  0.500 (multiplicity 1)
As  0.000  0.000  0.000 (multiplicity 1)
As  0.000  0.500  0.624 (multiplicity 2)
As  0.500  0.500  0.000 (multiplicity 1)
Rh  0.000  0.500  0.877 (multiplicity 2)
Rh  0.500  0.500  0.500 (multiplicity 1)